# 1
Computed, not measured: an optimized crystal structure of SbPAuO2 at the GGA-PBE level of DFT.

Results
Formation energy from raw total energies: 36.3 kJ per mole of atoms
Final energy: -20.85 eV per cell

CIF file:
```
data_SbPAuO2
_cell_length_a 4.101
_cell_length_b 4.101
_cell_length_c 4.888
_cell_angle_alpha 90.00
_cell_angle_beta 90.00
_cell_angle_gamma 90.00
_space_group_name_H-M_alt 'P 4/m m m'
_space_group_IT_number 123
_space_group_name_Hall '-P 4 2'
loop_
_atom_site_label
_atom_site_type_symbol
_atom_site_fract_x
_atom_site_fract_y
_atom_site_fract_z
Sb1 Sb 0.000 0.000 0.000
P1 P 0.500 0.500 0.000
Au1 Au 0.500 0.500 0.500
O1 O 0.000 0.500 0.500
```

***

# 2
Computed, not measured: an optimized crystal structure of SbPAuO2 at the GGA-PBE level of DFT.

Results
Formation energy from raw total energies: -26.0 kJ per mole of atoms
Final energy: -24.07 eV per cell

CIF file:
```
data_SbPAuO2
_cell_length_a 3.852
_cell_length_b 3.852
_cell_length_c 5.567
_cell_angle_alpha 90.00
_cell_angle_beta 90.00
_cell_angle_gamma 90.00
_space_group_name_H-M_alt 'P 4/m m m'
_space_group_IT_number 123
_space_group_name_Hall '-P 4 2'
loop_
_atom_site_label
_atom_site_type_symbol
_atom_site_fract_x
_atom_site_fract_y
_atom_site_fract_z
Sb1 Sb 0.000 0.000 0.000
P1 P 0.000 0.000 0.500
Au1 Au 0.500 0.500 0.500
O1 O 0.000 0.500 0.000
```

***

# 3
Computed, not measured: an optimized crystal structure of P2AuSeO at the GGA-PBE level of DFT.

Results
Formation energy from raw total energies: 82.2 kJ per mole of atoms
Final energy: -18.28 eV per cell

CIF file:
```
data_P2AuSeO
_cell_length_a 4.876
_cell_length_b 4.876
_cell_length_c 3.945
_cell_angle_alpha 90.00
_cell_angle_beta 90.00
_cell_angle_gamma 90.00
_space_group_name_H-M_alt 'P 4/m m m'
_space_group_IT_number 123
_space_group_name_Hall '-P 4 2'
loop_
_atom_site_label
_atom_site_type_symbol
_atom_site_fract_x
_atom_site_fract_y
_atom_site_fract_z
P1 P 0.000 0.500 0.000
Au1 Au 0.000 0.000 0.000
Se1 Se 0.500 0.500 0.500
O1 O 0.000 0.000 0.500
```

***

# 4
Computed, not measured: an optimized crystal structure of P2AuSeO at the GGA-PBE level of DFT.

Results
Formation energy from raw total energies: 60.1 kJ per mole of atoms
Final energy: -19.43 eV per cell

CIF file:
```
data_P2AuSeO
_cell_length_a 4.894
_cell_length_b 4.894
_cell_length_c 3.619
_cell_angle_alpha 90.00
_cell_angle_beta 90.00
_cell_angle_gamma 90.00
_space_group_name_H-M_alt 'P 4/m m m'
_space_group_IT_number 123
_space_group_name_Hall '-P 4 2'
loop_
_atom_site_label
_atom_site_type_symbol
_atom_site_fract_x
_atom_site_fract_y
_atom_site_fract_z
P1 P 0.000 0.500 0.000
Au1 Au 0.000 0.000 0.500
Se1 Se 0.500 0.500 0.000
O1 O 0.500 0.500 0.500
```

***

# 5
Computed, not measured: an optimized crystal structure of PAuSeO2 at the GGA-PBE level of DFT.

Results
Formation energy from raw total energies: 15.5 kJ per mole of atoms
Final energy: -21.29 eV per cell

CIF file:
```
data_PAuSeO2
_cell_length_a 3.710
_cell_length_b 3.710
_cell_length_c 5.328
_cell_angle_alpha 90.00
_cell_angle_beta 90.00
_cell_angle_gamma 90.00
_space_group_name_H-M_alt 'P 4/m m m'
_space_group_IT_number 123
_space_group_name_Hall '-P 4 2'
loop_
_atom_site_label
_atom_site_type_symbol
_atom_site_fract_x
_atom_site_fract_y
_atom_site_fract_z
P1 P 0.000 0.000 0.000
Au1 Au 0.500 0.500 0.000
Se1 Se 0.000 0.000 0.500
O1 O 0.000 0.500 0.500
```

***

# 6
Computed, not measured: an optimized crystal structure of PAuSeO2 at the GGA-PBE level of DFT.

Results
Formation energy from raw total energies: 63.5 kJ per mole of atoms
Final energy: -18.80 eV per cell

CIF file:
```
data_PAuSeO2
_cell_length_a 3.889
_cell_length_b 3.889
_cell_length_c 5.756
_cell_angle_alpha 90.00
_cell_angle_beta 90.00
_cell_angle_gamma 90.00
_space_group_name_H-M_alt 'P 4/m m m'
_space_group_IT_number 123
_space_group_name_Hall '-P 4 2'
loop_
_atom_site_label
_atom_site_type_symbol
_atom_site_fract_x
_atom_site_fract_y
_atom_site_fract_z
P1 P 0.000 0.000 0.000
Au1 Au 0.000 0.000 0.500
Se1 Se 0.500 0.500 0.000
O1 O 0.000 0.500 0.500
```

***

# 7
Computed, not measured: an optimized crystal structure of SiP2AuO at the GGA-PBE level of DFT.

Results
Formation energy from raw total energies: -16.6 kJ per mole of atoms
Final energy: -25.34 eV per cell

CIF file:
```
data_SiP2AuO
_cell_length_a 4.798
_cell_length_b 4.798
_cell_length_c 3.239
_cell_angle_alpha 90.00
_cell_angle_beta 90.00
_cell_angle_gamma 90.00
_space_group_name_H-M_alt 'P 4/m m m'
_space_group_IT_number 123
_space_group_name_Hall '-P 4 2'
loop_
_atom_site_label
_atom_site_type_symbol
_atom_site_fract_x
_atom_site_fract_y
_atom_site_fract_z
Si1 Si 0.000 0.000 0.000
P1 P 0.000 0.500 0.000
Au1 Au 0.500 0.500 0.500
O1 O 0.000 0.000 0.500
```

***

# 8
Computed, not measured: an optimized crystal structure of SiP2AuO at the GGA-PBE level of DFT.

Results
Formation energy from raw total energies: 96.4 kJ per mole of atoms
Final energy: -19.48 eV per cell

CIF file:
```
data_SiP2AuO
_cell_length_a 4.880
_cell_length_b 4.880
_cell_length_c 3.903
_cell_angle_alpha 90.00
_cell_angle_beta 90.00
_cell_angle_gamma 90.00
_space_group_name_H-M_alt 'P 4/m m m'
_space_group_IT_number 123
_space_group_name_Hall '-P 4 2'
loop_
_atom_site_label
_atom_site_type_symbol
_atom_site_fract_x
_atom_site_fract_y
_atom_site_fract_z
Si1 Si 0.000 0.000 0.000
P1 P 0.000 0.500 0.500
Au1 Au 0.500 0.500 0.500
O1 O 0.500 0.500 0.000
```